No. 1
DFT (PBE-GGA) results for K2BeTl after structural relaxation.

Unit cell a=4.4861 b=4.4861 c=9.5160 alpha=76.89 beta=76.89 gamma=59.91
Last column: nearest neighbours and their distance in Å.
Positions (direct):
Be (0.2084, 0.2084, 0.3751)  3 Tl 2.59
Tl (0.5416, 0.5416, 0.3750)  3 Be 2.59
K (0.9616, 0.9616, 0.1042)  3 Be 3.59, 3 Tl 3.59
K (0.7883, 0.7883, 0.6457)  3 Be 3.59, 3 Tl 3.59

Values from the calculation:
Electronic total energy, eV/cell: -7.112
ΔE to the lowest computed polymorph, meV/atom: 35
Formation enthalpy at 0 K, eV/atom: 0.29

No. 2
DFT (PBE-GGA) results for KBeTl2 after structural relaxation.

Unit cell a=5.3178 b=5.3178 c=5.3178 alpha=60.00 beta=60.00 gamma=60.00
Last column: nearest neighbours and their distance in Å.
Positions (direct):
Be (0.0000, 0.0000, 0.0000)  8 Tl 3.26
Tl (0.2500, 0.2500, 0.2500)  4 K 3.26, 4 Be 3.26
Tl (0.7500, 0.7500, 0.7500)  4 K 3.26, 4 Be 3.26
K (0.5000, 0.5000, 0.5000)  8 Tl 3.26

Values from the calculation:
Electronic total energy, eV/cell: -7.614
ΔE to the lowest computed polymorph, meV/atom: 245
Formation enthalpy at 0 K, eV/atom: 0.49

Number 1: Fermi-level density of states 2.98 states/eV/f.u., total magnetic moment 0.00 μB per cell. Number 2: Fermi-level density of states 4.12 states/eV/f.u., total magnetic moment 0.00 μB per cell.